ReRh GGA-PBEsol relaxed; M_tot = 0.0 μB per formula unit; D(E_F) = 3.86 states/eV per cell; energy above the most stable polymorph in this dataset = 52.7 meV per atom; crystal system = monoclinic; calculated volume = 84 Å³/cell
1.0
2.6979 0.0000 0.0000
-1.3489 4.9478 -0.0006
0.0000 -1.5727 6.2561
Re Rh
3 3
Cartesian
0.0000 -1.5427 6.2438
0.0000 2.2212 4.1610
0.0000 3.4143 1.7585
1.3489 1.1470 2.0813
1.3489 0.7315 5.9264
0.0000 -0.4549 3.8092

***

La2TaBr GGA-PBEsol relaxed; M_tot = 0.0 μB per formula unit; D(E_F) = 3.46 states/eV per cell; energy above the most stable polymorph in this dataset = 0.0 meV per atom; crystal system = orthorhombic; E_form (uncorrected) = -0.2032 eV per atom; calculated volume = 103 Å³/cell
1.0
3.3308 0.0000 0.0000
0.0000 5.2543 0.0000
-1.6654 0.0000 5.8734
La Br Ta
2 1 1
Cartesian
0.0000 0.0000 3.0046
0.0000 2.6271 0.0075
1.6654 2.6271 2.8484
1.6654 0.0000 0.0133

***

GeAsAu3 GGA-PBEsol relaxed; M_tot = 0.0 μB per formula unit; D(E_F) = 4.95 states/eV per cell; crystal system = cubic; total DFT energy (no corrections) = -3.626 eV per atom; calculated volume = 110 Å³/cell
1.0
-1.1797 4.5477 0.9032
-2.9637 -0.0229 -3.7557
-3.5657 -1.4856 2.8229
Au Ge As
3 1 1
Cartesian
-1.4819 -0.0115 -1.8778
-0.5899 2.2739 0.4516
-1.7828 -0.7428 1.4114
0.0000 0.0000 0.0000
-3.8546 1.5196 -0.0148

***

Tl2PbCl GGA-PBEsol relaxed; M_tot = 0.0 μB per formula unit; D(E_F) = 1.73 states/eV per cell; energy above the most stable polymorph in this dataset = 47.4 meV per atom; crystal system = orthorhombic; E_form (uncorrected) = -0.2808 eV per atom; calculated volume = 110 Å³/cell
1.0
-2.8960 0.4598 -2.0135
-2.1443 -4.5787 2.0384
0.1049 5.0400 4.1419
Tl Cl Pb
2 1 1
Cartesian
-2.7380 1.8219 1.2122
-4.9286 0.9127 4.1551
-2.5335 -2.0429 0.0354
-2.1906 -0.9091 2.9431

***

calculated volume of number 2 (La2TaBr)? 103 Å³/cell